Tb3Dy3Pt2 | Alexandria | PBE-GGA | relaxed; calculated formation energy = -0.5983 eV/atom; calculated density = 9.74 Mg/m³; calculated total energy = -5.57 eV/atom
1.0
1.8948 -6.6117 0.0000
1.8948 6.6117 0.0000
0.0000 0.0000 18.4363
Tb Dy Pt
6 6 4
Cartesian
1.8948 5.8518 10.8191
1.8948 5.8518 16.8354
1.8948 2.8808 13.8272
1.8948 -2.8808 4.6091
1.8948 -5.8518 1.6009
1.8948 -5.8518 7.6173
1.8948 2.2719 10.2806
1.8948 2.2719 17.3739
1.8948 0.7747 4.6091
1.8948 -0.7747 13.8272
1.8948 -2.2719 1.0624
1.8948 -2.2719 8.1558
1.8948 2.7360 2.4992
1.8948 2.7360 6.7190
1.8948 -2.7360 11.7173
1.8948 -2.7360 15.9371